# Pu3PbO2 (GGA-PBE, optimized geometry)
# ΔE_f (raw) (eV/atom): -1.622
# N(E_F) (states/eV/cell): 120.1
data_Pu3PbO2
_chemical_formula_sum 'Pu12 Pb4 O8'
_cell_length_a 8.9822
_cell_length_b 11.0830
_cell_length_c 5.6053
_cell_angle_alpha 90.00
_cell_angle_beta 90.00
_cell_angle_gamma 90.00
_symmetry_space_group_name_H-M 'C m c m'
_symmetry_Int_Tables_number 63
_symmetry_space_group_name_Hall '-C 2c 2'
loop_
_atom_site_label
_atom_site_type_symbol
_atom_site_fract_x
_atom_site_fract_y
_atom_site_fract_z
Pu1 Pu 0.0000 0.1047 0.2500
Pu2 Pu 0.1964 0.3906 0.2500
Pb1 Pb 0.0000 0.3121 0.7500
O1 O 0.1635 0.0000 0.0000

# PuPbO4 (GGA-PBE, optimized geometry)
# ΔE_f (raw) (eV/atom): -2.099
# N(E_F) (states/eV/cell): 6.7
data_PuPbO4
_chemical_formula_sum 'Pu2 Pb2 O8'
_cell_length_a 6.2226
_cell_length_b 5.4852
_cell_length_c 6.1341
_cell_angle_alpha 90.00
_cell_angle_beta 108.17
_cell_angle_gamma 90.00
_symmetry_space_group_name_H-M 'P 1 21/c 1'
_symmetry_Int_Tables_number 14
_symmetry_space_group_name_Hall '-P 2ybc'
loop_
_atom_site_label
_atom_site_type_symbol
_atom_site_fract_x
_atom_site_fract_y
_atom_site_fract_z
Pu1 Pu 0.0000 0.0000 0.0000
Pb1 Pb 0.5000 0.0000 0.5000
O1 O 0.1148 0.2093 0.3008
O2 O 0.3003 0.6411 0.5910

# Pu2PbO (GGA-PBE, optimized geometry)
# ΔE_f (raw) (eV/atom): -0.439
# Offset from the most stable computed form (meV per atom): 880
# N(E_F) (states/eV/cell): 17.6
data_Pu2PbO
_chemical_formula_sum 'Pu6 Pb3 O3'
_cell_length_a 4.1119
_cell_length_b 4.1119
_cell_length_c 17.0850
_cell_angle_alpha 90.00
_cell_angle_beta 90.00
_cell_angle_gamma 120.00
_symmetry_space_group_name_H-M 'R -3 m'
_symmetry_Int_Tables_number 166
_symmetry_space_group_name_Hall '-R 3 2"'
loop_
_atom_site_label
_atom_site_type_symbol
_atom_site_fract_x
_atom_site_fract_y
_atom_site_fract_z
Pu1 Pu 0.0000 0.0000 0.1868
Pb1 Pb 0.0000 0.0000 0.0000
O1 O 0.0000 0.0000 0.5000